Material: BaCd2Sb2
Method: DFT, PBE
State: relaxed

Lattice parameters (Å, degrees): 7.700 7.700 7.700 144.35 144.35 51.30
Sites, in units of the cell vectors:
Ba 0.000 0.000 0.000
Cd 0.250 0.750 0.500
Cd 0.750 0.250 0.500
Sb 0.380 0.380 0.000
Sb 0.620 0.620 0.000

Values from the calculation:
total DFT energy (no corrections)	-2.881	eV per atom

---

Material: BaSrCdSb2
Method: DFT, PBE
State: relaxed

Lattice parameters (Å, degrees): 9.611 9.611 7.913 90.00 90.00 150.69
Sites, in units of the cell vectors:
Ba 0.202 0.798 0.500
Ba 0.798 0.202 0.000
Sr 0.024 0.976 0.181
Sr 0.976 0.024 0.681
Cd 0.407 0.593 0.340
Cd 0.593 0.407 0.840
Sb 0.167 0.833 0.940
Sb 0.437 0.563 0.964
Sb 0.563 0.437 0.464
Sb 0.833 0.167 0.440

Values from the calculation:
relative energy among the computed polymorphs	0.0	meV per atom
total DFT energy (no corrections)	-3.439	eV per atom

---

Material: BaSrCdSb2
Method: DFT, PBE
State: relaxed

Lattice parameters (Å, degrees): 9.209 9.209 8.528 90.00 90.00 149.46
Sites, in units of the cell vectors:
Ba 0.036 0.964 0.500
Ba 0.964 0.036 0.000
Sr 0.205 0.795 0.847
Sr 0.795 0.205 0.347
Cd 0.406 0.594 0.653
Cd 0.594 0.406 0.153
Sb 0.177 0.823 0.228
Sb 0.432 0.568 0.296
Sb 0.568 0.432 0.796
Sb 0.823 0.177 0.728

Values from the calculation:
relative energy among the computed polymorphs	43.4	meV per atom
total DFT energy (no corrections)	-3.396	eV per atom

---

Material: BaSrCd2Sb4
Method: DFT, PBE
State: relaxed

Lattice parameters (Å, degrees): 12.386 12.386 12.386 158.71 158.71 30.28
Sites, in units of the cell vectors:
Ba 0.000 0.000 0.000
Sr 0.775 0.775 0.000
Cd 0.142 0.642 0.500
Cd 0.642 0.142 0.500
Sb 0.222 0.222 0.000
Sb 0.384 0.884 0.500
Sb 0.563 0.563 0.000
Sb 0.884 0.384 0.500

Values from the calculation:
total DFT energy (no corrections)	-3.323	eV per atom

---

Material: BaSc2Cd
Method: DFT, PBE
State: relaxed

Lattice parameters (Å, degrees): 5.500 5.500 5.500 60.00 60.00 60.00
Sites, in units of the cell vectors:
Ba 0.000 0.000 0.000
Sc 0.500 0.500 0.500
Sc 0.750 0.750 0.750
Cd 0.250 0.250 0.250

Values from the calculation:
total DFT energy (no corrections)	-3.651	eV per atom
total magnetization	1.77	μB/f.u.

---

Material: BaScCd2
Method: DFT, PBE
State: relaxed

Lattice parameters (Å, degrees): 5.361 5.361 5.361 60.00 60.00 60.00
Sites, in units of the cell vectors:
Ba 0.000 0.000 0.000
Sc 0.250 0.250 0.250
Cd 0.500 0.500 0.500
Cd 0.750 0.750 0.750

Values from the calculation:
total DFT energy (no corrections)	-2.428	eV per atom
total magnetization	0.09	μB/f.u.

---

Material: BaCd2Se3
Method: DFT, PBE
State: relaxed

Lattice parameters (Å, degrees): 7.521 7.521 10.777 90.00 90.00 146.71
Sites, in units of the cell vectors:
Ba 0.243 0.757 0.750
Ba 0.757 0.243 0.250
Cd 0.000 0.000 0.000
Cd 0.000 0.000 0.500
Cd 0.475 0.525 0.250
Cd 0.525 0.475 0.750
Se 0.084 0.916 0.250
Se 0.366 0.634 0.052
Se 0.366 0.634 0.448
Se 0.634 0.366 0.552
Se 0.634 0.366 0.948
Se 0.916 0.084 0.750

Values from the calculation:
total DFT energy (no corrections)	-3.356	eV per atom

---

Material: BaSmCdSe3
Method: DFT, PBE
State: relaxed

Lattice parameters (Å, degrees): 7.723 7.723 10.880 90.00 90.00 147.29
Sites, in units of the cell vectors:
Ba 0.237 0.763 0.750
Ba 0.763 0.237 0.250
Sm 0.000 0.000 0.000
Sm 0.000 0.000 0.500
Cd 0.477 0.523 0.250
Cd 0.523 0.477 0.750
Se 0.090 0.910 0.250
Se 0.366 0.634 0.055
Se 0.366 0.634 0.445
Se 0.634 0.366 0.555
Se 0.634 0.366 0.945
Se 0.910 0.090 0.750

Values from the calculation:
total DFT energy (no corrections)	-4.388	eV per atom
total magnetization	0.31	μB/f.u.

---

Material: Ba2CdSi
Method: DFT, PBE
State: relaxed

Lattice parameters (Å, degrees): 5.683 5.683 5.683 60.00 60.00 60.00
Sites, in units of the cell vectors:
Ba 0.000 0.000 0.000
Ba 0.250 0.250 0.250
Cd 0.750 0.750 0.750
Si 0.500 0.500 0.500

Values from the calculation:
total DFT energy (no corrections)	-2.447	eV per atom

---

Material: Ba2CdSi3
Method: DFT, PBE
State: relaxed

Lattice parameters (Å, degrees): 11.083 11.083 8.674 101.25 101.25 133.97
Sites, in units of the cell vectors:
Ba 0.001 0.999 0.750
Ba 0.249 0.751 0.750
Ba 0.253 0.747 0.250
Ba 0.497 0.503 0.250
Ba 0.503 0.497 0.750
Ba 0.747 0.253 0.750
Ba 0.751 0.249 0.250
Ba 0.999 0.001 0.250
Cd 0.042 0.292 0.585
Cd 0.292 0.042 0.085
Cd 0.708 0.958 0.915
Cd 0.958 0.708 0.415
Si 0.061 0.303 0.091
Si 0.212 0.470 0.409
Si 0.216 0.466 0.932
Si 0.303 0.061 0.591
Si 0.466 0.216 0.432
Si 0.470 0.212 0.909
Si 0.530 0.788 0.091
Si 0.534 0.784 0.568
Si 0.697 0.939 0.409
Si 0.784 0.534 0.068
Si 0.788 0.530 0.591
Si 0.939 0.697 0.909

Values from the calculation:
total DFT energy (no corrections)	-3.880	eV per atom

---

Material: BaCdSi
Method: DFT, PBE
State: relaxed

Lattice parameters (Å, degrees): 8.914 8.914 8.914 153.47 146.52 43.21
Sites, in units of the cell vectors:
Ba 0.393 0.143 0.250
Ba 0.607 0.857 0.750
Cd 0.207 0.457 0.750
Cd 0.793 0.543 0.250
Si 0.040 0.290 0.750
Si 0.960 0.710 0.250

Values from the calculation:
total DFT energy (no corrections)	-3.125	eV per atom

---

Material: BaSmCd
Method: DFT, PBE
State: relaxed

Lattice parameters (Å, degrees): 5.565 5.565 5.565 60.00 60.00 60.00
Sites, in units of the cell vectors:
Ba 0.000 0.000 0.000
Sm 0.500 0.500 0.500
Cd 0.250 0.250 0.250

Values from the calculation:
relative energy among the computed polymorphs	0.0	meV per atom
total DFT energy (no corrections)	-2.362	eV per atom
total magnetization	0.50	μB/f.u.